(1)
Entry from Alexandria: crystalline MgMnIn2Br6 at its relaxed geometry (PBE).

Values from the calculation:
**Formation energy without anion corrections**: -0.89 eV per atom
**DOS(E_F)**: 0.0000 states/eV/atom
**Calculated volume**: 29.901 Å³ per atom

Structure (CIF):
```
data_MgMnIn2Br6
_chemical_formula_sum 'Mg1 Mn1 In2 Br6'
_cell_length_a 7.417
_cell_length_b 7.432
_cell_length_c 7.519
_cell_angle_alpha 118.77
_cell_angle_beta 119.40
_cell_angle_gamma 90.81
_space_group_name_H-M_alt 'P -1'
_space_group_IT_number 2
_space_group_name_Hall '-P 1'
loop_
_atom_site_label
_atom_site_fract_x
_atom_site_fract_y
_atom_site_fract_z
Mg1 0.000 0.000 0.000
Mn1 0.500 0.500 0.000
In1 0.236 0.769 0.504
Br1 0.219 0.219 0.499
Br2 0.227 0.327 0.051
Br3 0.302 0.800 0.000
```

=====

(2)
Entry from Alexandria: crystalline Sm3Tm5Sb8 at its relaxed geometry (PBE).

Values from the calculation:
**Formation energy without anion corrections**: -1.10 eV per atom
**DOS(E_F)**: 0.1727 states/eV/atom
**Calculated volume**: 29.900 Å³ per atom

Structure (CIF):
```
data_Sm3Tm5Sb8
_chemical_formula_sum 'Sm9 Tm15 Sb24'
_cell_length_a 8.7814
_cell_length_b 8.7814
_cell_length_c 21.4907
_cell_angle_alpha 90.00
_cell_angle_beta 90.00
_cell_angle_gamma 120.00
_space_group_name_H-M_alt 'R -3 m'
_space_group_IT_number 166
_space_group_name_Hall '-R 3 2"'
loop_
_atom_site_label
_atom_site_fract_x
_atom_site_fract_y
_atom_site_fract_z
Sm1 0.0000 0.5000 0.0000
Tm1 0.0000 0.0000 0.0000
Tm2 0.0000 0.0000 0.5000
Tm3 0.0000 0.5000 0.5000
Sb1 0.0000 0.0000 0.2470
Sb2 0.0040 0.5020 0.7520
```

=====

(3)
Entry from Alexandria: crystalline PmDyRh at its relaxed geometry (PBE).

Values from the calculation:
**DFT formation energy**: -491 meV/atom
**ΔE to the lowest computed polymorph**: 55 meV/atom
**DOS(E_F)**: 0.7073 states/eV/atom
**Calculated volume**: 25.172 Å³ per atom

Structure (CIF):
```
data_PmDyRh
_chemical_formula_sum 'Pm4 Dy4 Rh4'
_cell_length_a 3.643
_cell_length_b 15.688
_cell_length_c 5.285
_cell_angle_alpha 90.00
_cell_angle_beta 90.00
_cell_angle_gamma 90.00
_space_group_name_H-M_alt 'C m c m'
_space_group_IT_number 63
_space_group_name_Hall '-C 2c 2'
loop_
_atom_site_label
_atom_site_fract_x
_atom_site_fract_y
_atom_site_fract_z
Pm1 0.000 0.071 0.250
Dy1 0.000 0.215 0.750
Rh1 0.000 0.421 0.250
```

=====

(4)
Entry from Alexandria: crystalline MgAl2Au at its relaxed geometry (PBE).

Values from the calculation:
**DFT formation energy**: -242 meV/atom
**DOS(E_F)**: 0.3466 states/eV/atom
**Calculated volume**: 17.355 Å³ per atom

Structure (CIF):
```
data_MgAl2Au
_chemical_formula_sum 'Mg1 Al2 Au1'
_cell_length_a 4.042
_cell_length_b 4.042
_cell_length_c 4.248
_cell_angle_alpha 90.00
_cell_angle_beta 90.00
_cell_angle_gamma 90.00
_space_group_name_H-M_alt 'P 4/m m m'
_space_group_IT_number 123
_space_group_name_Hall '-P 4 2'
loop_
_atom_site_label
_atom_site_fract_x
_atom_site_fract_y
_atom_site_fract_z
Mg1 0.000 0.000 0.000
Al1 0.000 0.500 0.500
Au1 0.500 0.500 0.000
```

=====

(5)
Entry from Alexandria: crystalline CsCo at its relaxed geometry (PBE).

Values from the calculation:
**DFT formation energy**: 1635 meV/atom
**ΔE to the lowest computed polymorph**: 945 meV/atom
**DOS(E_F)**: 3.2314 states/eV/atom
**Calculated volume**: 66.179 Å³ per atom

Structure (CIF):
```
data_CsCo
_chemical_formula_sum 'Cs2 Co2'
_cell_length_a 6.4002
_cell_length_b 6.4002
_cell_length_c 7.4620
_cell_angle_alpha 90.00
_cell_angle_beta 90.00
_cell_angle_gamma 120.00
_space_group_name_H-M_alt 'P 63/m m c'
_space_group_IT_number 194
_space_group_name_Hall '-P 6c 2c'
loop_
_atom_site_label
_atom_site_fract_x
_atom_site_fract_y
_atom_site_fract_z
Cs1 0.3333 0.6667 0.2500
Co1 0.3333 0.6667 0.7500
```

=====

(6)
Entry from Alexandria: crystalline BaErCuTe3 at its relaxed geometry (PBE).

Values from the calculation:
**Formation energy without anion corrections**: -1.22 eV per atom
**DOS(E_F)**: 0.0028 states/eV/atom
**Calculated volume**: 32.926 Å³ per atom

Structure (CIF):
```
data_BaErCuTe3
_chemical_formula_sum 'Ba2 Er2 Cu2 Te6'
_cell_length_a 9.385
_cell_length_b 4.419
_cell_length_c 9.885
_cell_angle_alpha 90.00
_cell_angle_beta 105.45
_cell_angle_gamma 90.00
_space_group_name_H-M_alt 'P 1 21/m 1'
_space_group_IT_number 11
_space_group_name_Hall '-P 2yb'
loop_
_atom_site_label
_atom_site_fract_x
_atom_site_fract_y
_atom_site_fract_z
Ba1 0.191 0.250 0.248
Er1 0.326 0.750 0.842
Cu1 0.075 0.250 0.582
Te1 0.108 0.250 0.864
Te2 0.219 0.750 0.526
Te3 0.449 0.750 0.166
```

=====

(7)
Entry from Alexandria: crystalline K2LaW at its relaxed geometry (PBE).

Values from the calculation:
**DFT formation energy**: 975 meV/atom
**ΔE to the lowest computed polymorph**: 75 meV/atom
**DOS(E_F)**: 0.9856 states/eV/atom
**Calculated volume**: 39.975 Å³ per atom

Structure (CIF):
```
data_K2LaW
_chemical_formula_sum 'K2 La1 W1'
_cell_length_a 3.821
_cell_length_b 3.821
_cell_length_c 10.951
_cell_angle_alpha 90.00
_cell_angle_beta 90.00
_cell_angle_gamma 90.00
_space_group_name_H-M_alt 'P 4 m m'
_space_group_IT_number 99
_space_group_name_Hall 'P 4 -2'
loop_
_atom_site_label
_atom_site_fract_x
_atom_site_fract_y
_atom_site_fract_z
K1 0.000 0.000 0.000
K2 0.500 0.500 0.369
La1 0.000 0.000 0.662
W1 0.500 0.500 0.765
```

=====

(8)
Entry from Alexandria: crystalline PmAgPt at its relaxed geometry (PBE).

Values from the calculation:
**DFT formation energy**: -622 meV/atom
**ΔE to the lowest computed polymorph**: 151 meV/atom
**DOS(E_F)**: 0.3069 states/eV/atom
**Calculated volume**: 22.498 Å³ per atom

Structure (CIF):
```
data_PmAgPt
_chemical_formula_sum 'Pm1 Ag1 Pt1'
_cell_length_a 4.6446
_cell_length_b 4.6446
_cell_length_c 3.6128
_cell_angle_alpha 90.00
_cell_angle_beta 90.00
_cell_angle_gamma 120.00
_space_group_name_H-M_alt 'P -6 m 2'
_space_group_IT_number 187
_space_group_name_Hall 'P -6 2'
loop_
_atom_site_label
_atom_site_fract_x
_atom_site_fract_y
_atom_site_fract_z
Pm1 0.0000 0.0000 0.0000
Ag1 0.6667 0.3333 0.5000
Pt1 0.3333 0.6667 0.5000
```

=====

> Among the records above, which one has the highest calculated volume?

CsCo